The following is a DFT calculation (GGA-PBE) of a geometry-optimized Ca2AcAgRh structure.

Summary:
SG: P4mm, No. 99
Energy of formation from the pure elements: -0.225 eV/atom

POSCAR file:
```
Ca2AcAgRh
1.0
5.463 0.000 0.000
0.000 5.463 0.000
0.000 0.000 5.709
Ca Ac Ag Rh
2 1 1 1
direct
0.000 0.500 0.000
0.500 0.000 0.000
0.000 0.000 0.516
0.500 0.500 0.596
0.000 0.000 0.024
```

***

The following is a DFT calculation (GGA-PBE) of a geometry-optimized BeZnTe2 structure.

Summary:
Uncorrected formation energy: 0.188 eV/atom
SG: Cmmm, No. 65

POSCAR file:
```
BeZnTe2
1.0
1.835 -4.622 0.000
1.835 4.622 0.000
0.000 0.000 7.552
Be Zn Te
1 1 2
direct
0.000 0.000 0.000
0.000 0.000 0.500
0.500 0.500 0.225
0.500 0.500 0.775
```

***

The following is a DFT calculation (GGA-PBE) of a geometry-optimized AcNdGeAu structure.

Summary:
SG: F-43m, No. 216
Energy of formation from the pure elements: -0.674 eV/atom

POSCAR file:
```
AcNdGeAu
1.0
0.000 3.819 3.819
3.819 0.000 3.819
3.819 3.819 0.000
Ac Nd Ge Au
1 1 1 1
direct
0.000 0.000 0.000
0.500 0.500 0.500
0.250 0.250 0.250
0.750 0.750 0.750
```

***

The following is a DFT calculation (GGA-PBE) of a geometry-optimized Cs3NdAg2I9 structure.

Summary:
Uncorrected formation energy: -1.041 eV/atom
SG: P-3m1, No. 164

POSCAR file:
```
Cs3NdAg2I9
1.0
8.550 0.000 0.000
-4.275 7.405 0.000
0.000 0.000 10.635
Cs Nd Ag I
3 1 2 9
direct
0.000 0.000 0.000
0.333 0.667 0.680
0.667 0.333 0.320
0.000 0.000 0.500
0.333 0.667 0.148
0.667 0.333 0.852
0.000 0.500 0.000
0.171 0.341 0.331
0.171 0.829 0.331
0.341 0.171 0.669
0.500 0.000 0.000
0.500 0.500 0.000
0.659 0.829 0.331
0.829 0.171 0.669
0.829 0.659 0.669
```

***

The following is a DFT calculation (GGA-PBE) of a geometry-optimized Cs2TiSiI6 structure.

Summary:
Uncorrected formation energy: -0.773 eV/atom
SG: Fm-3m, No. 225

POSCAR file:
```
Cs2TiSiI6
1.0
0.000 5.882 5.882
5.882 0.000 5.882
5.882 5.882 0.000
Cs Ti Si I
2 1 1 6
direct
0.250 0.250 0.250
0.750 0.750 0.750
0.000 0.000 0.000
0.500 0.500 0.500
0.248 0.248 0.752
0.248 0.752 0.248
0.248 0.752 0.752
0.752 0.248 0.248
0.752 0.248 0.752
0.752 0.752 0.248
```

***

The following is a DFT calculation (GGA-PBE) of a geometry-optimized Ce2ScPa6 structure.

Summary:
SG: P-6m2, No. 187
Energy of formation from the pure elements: 0.085 eV/atom

POSCAR file:
```
Ce2ScPa6
1.0
3.172 0.000 0.000
-1.586 2.747 0.000
0.000 0.000 25.856
Ce Sc Pa
2 1 6
direct
0.000 0.000 0.171
0.000 0.000 0.829
0.333 0.667 0.500
0.000 0.000 0.393
0.000 0.000 0.607
0.333 0.667 0.057
0.333 0.667 0.283
0.333 0.667 0.717
0.333 0.667 0.943
```

***

The following is a DFT calculation (GGA-PBE) of a geometry-optimized Pm6In2Pt structure.

Summary:
SG: Immm, No. 71
Energy of formation from the pure elements: -0.316 eV/atom

POSCAR file:
```
Pm6In2Pt
1.0
-2.621 3.712 7.653
2.621 -3.712 7.653
2.621 3.712 -7.653
Pm In Pt
6 2 1
direct
0.084 0.343 0.741
0.228 0.000 0.228
0.398 0.657 0.741
0.602 0.343 0.259
0.772 0.000 0.772
0.916 0.657 0.259
0.333 0.833 0.500
0.667 0.167 0.500
0.000 0.500 0.500
```

***

The following is a DFT calculation (GGA-PBE) of a geometry-optimized Pm4Dy3Ge4 structure.

Summary:
SG: Immm, No. 71
Energy of formation from the pure elements: -0.609 eV/atom

POSCAR file:
```
Pm4Dy3Ge4
1.0
-1.869 4.422 8.745
1.869 -4.422 8.745
1.869 4.422 -8.745
Pm Dy Ge
4 3 4
direct
0.005 0.830 0.175
0.344 0.170 0.175
0.656 0.830 0.825
0.995 0.170 0.825
0.000 0.500 0.500
0.406 0.406 0.000
0.594 0.594 0.000
0.276 0.000 0.276
0.278 0.778 0.500
0.722 0.222 0.500
0.724 0.000 0.724
```